# 1
ZnCdW | PBE | optimized geometry

POSCAR file:
```
ZnCdW
1.0
-2.381 2.978 -2.054
-1.022 -0.546 -4.173
-4.084 -0.895 -1.130
W Zn Cd
1 1 1
Direct
0.500 0.500 0.500
0.750 0.750 0.750
0.000 0.000 0.000
```

Summary:
**Formation energy**: 1122.9 meV/atom
**Crystal system**: cubic

# 2
Sb5C3 | PBE | optimized geometry

POSCAR file:
```
Sb5C3
1.0
-6.951 -2.217 -2.063
6.832 -3.061 -1.202
-0.779 -7.049 5.566
C Sb
6 10
Direct
0.191 0.190 0.119
0.553 0.846 0.602
0.084 0.584 0.331
0.690 0.691 0.119
0.346 0.053 0.602
0.892 0.392 0.717
0.737 0.237 0.543
0.220 0.720 0.543
0.294 0.449 0.256
0.710 0.686 0.604
0.604 0.410 0.985
0.949 0.794 0.256
0.214 0.920 0.869
0.420 0.714 0.869
0.910 0.104 0.985
0.186 0.210 0.604
```

Summary:
**Crystal system**: monoclinic
**Raw total energy**: -4.797 eV/atom

# 3
Li4MoPb | PBE | optimized geometry

POSCAR file:
```
Li4MoPb
1.0
0.000 3.720 3.720
3.720 0.000 3.720
3.720 3.720 0.000
Pb Mo Li
1 1 4
Direct
0.000 0.000 0.000
0.750 0.750 0.750
0.377 0.377 0.869
0.869 0.377 0.377
0.377 0.377 0.377
0.377 0.869 0.377
```

Summary:
**Formation energy**: 320.5 meV/atom
**Crystal system**: cubic

# 4
SrLi12Bi6 | PBE | optimized geometry

POSCAR file:
```
SrLi12Bi6
1.0
-5.720 2.103 -5.255
0.597 -7.956 -1.050
-3.737 0.622 7.100
Li Bi Sr
12 6 1
Direct
0.109 0.891 0.500
0.891 0.500 0.109
0.891 0.109 0.500
0.446 0.446 0.152
0.500 0.109 0.891
0.152 0.446 0.446
0.554 0.554 0.848
0.554 0.848 0.554
0.446 0.152 0.446
0.848 0.554 0.554
0.500 0.891 0.109
0.109 0.500 0.891
0.243 0.243 0.726
0.726 0.243 0.243
0.274 0.757 0.757
0.757 0.274 0.757
0.757 0.757 0.274
0.243 0.726 0.243
0.000 0.000 0.000
```

Summary:
**Formation energy**: -368.5 meV/atom
**Crystal system**: trigonal

# 5
La6BiP4 | PBE | optimized geometry

POSCAR file:
```
La6BiP4
1.0
-0.201 -4.288 -0.613
6.829 1.556 2.216
-6.150 -2.689 20.836
La P Bi
12 8 2
Direct
0.773 0.546 0.420
0.227 0.454 0.580
0.960 0.920 0.656
0.338 0.675 0.250
0.500 0.000 0.500
0.040 0.080 0.156
0.227 0.454 0.920
0.500 0.000 0.000
0.773 0.546 0.080
0.662 0.325 0.750
0.960 0.920 0.844
0.040 0.080 0.344
0.408 0.816 0.375
0.138 0.276 0.041
0.862 0.724 0.959
0.408 0.816 0.125
0.592 0.184 0.875
0.138 0.276 0.459
0.592 0.184 0.625
0.862 0.724 0.541
0.661 0.323 0.250
0.339 0.677 0.750
```

Summary:
**Formation energy**: -1387.0 meV/atom
**Crystal system**: orthorhombic

# 6
La4ZnOs2 | PBE | optimized geometry

POSCAR file:
```
La4ZnOs2
1.0
5.808 0.000 0.000
0.000 5.808 0.000
2.904 2.904 6.674
La Os Zn
4 2 1
Direct
0.222 0.222 0.555
0.500 0.000 0.000
0.000 0.500 0.000
0.778 0.778 0.445
0.592 0.592 0.815
0.408 0.408 0.185
0.000 0.000 0.000
```

Summary:
**Formation energy**: 262.2 meV/atom
**Crystal system**: tetragonal